VASP calculation (PBE) on an optimized crystal structure of Cr2CuRh.

Output
- N(E_F) (states/eV/f.u.) = 5.0
- formation energy (eV per atom) = 0.176
- spin magnetization (μB per formula unit) = 0.000
- E_tot (eV/atom) = -7.497

```
data_Cr2CuRh
_chemical_formula_sum 'Cr4 Cu2 Rh2'
_cell_length_a 2.886
_cell_length_b 4.300
_cell_length_c 8.185
_cell_angle_alpha 90.00
_cell_angle_beta 90.00
_cell_angle_gamma 90.00
_space_group_name_H-M_alt 'C m m 2'
_space_group_IT_number 35
loop_
_space_group_symop_operation_xyz
'x,y,z'
'-x,-y,z'
'-x,y,z'
'x,-y,z'
'x+1/2,y+1/2,z'
'-x+1/2,-y+1/2,z'
'-x+1/2,y+1/2,z'
'x+1/2,-y+1/2,z'
loop_
_atom_site_label
_atom_site_type_symbol
_atom_site_fract_x
_atom_site_fract_y
_atom_site_fract_z
Cr1 Cr 0.000 0.000 0.000
Cr2 Cr 0.000 0.500 0.218
Cu1 Cu 0.000 0.500 0.744
Rh1 Rh 0.000 0.000 0.475
```

---

VASP calculation (PBE) on an optimized crystal structure of CrCuRh2.

Output
- N(E_F) (states/eV/f.u.) = 5.4
- formation energy (eV per atom) = 0.054
- spin magnetization (μB per formula unit) = 2.341
- E_tot (eV/atom) = -7.051

```
data_CrCuRh2
_chemical_formula_sum 'Cr2 Cu2 Rh4'
_cell_length_a 8.891
_cell_length_b 2.760
_cell_length_c 4.494
_cell_angle_alpha 90.00
_cell_angle_beta 101.87
_cell_angle_gamma 90.00
_space_group_name_H-M_alt 'C 1 m 1'
_space_group_IT_number 8
loop_
_space_group_symop_operation_xyz
'x,y,z'
'x,-y,z'
'x+1/2,y+1/2,z'
'x+1/2,-y+1/2,z'
loop_
_atom_site_label
_atom_site_type_symbol
_atom_site_fract_x
_atom_site_fract_y
_atom_site_fract_z
Cr1 Cr 0.000 0.000 0.000
Cu1 Cu 0.250 0.000 0.732
Rh1 Rh 0.000 0.500 0.513
Rh2 Rh 0.245 0.500 0.222
```